1.
This record from Alexandria describes Cr2MoRu at its PBEsol-relaxed geometry. The functional is meta-GGA SCAN.

Properties
D(E_F) = 4.22 states/eV per cell
formation energy = 0.363 eV/atom

Cell: 8.821 8.821 8.821 Å, 17.18 17.18 17.18°
Atoms (fractional coordinates):
Cr 0.246 0.246 0.246
Cr 0.754 0.754 0.754
Mo 0.000 0.000 0.000
Ru 0.500 0.500 0.500


2.
This record from Alexandria describes TcSbRu2 at its PBEsol-relaxed geometry. The functional is meta-GGA SCAN.

Properties
D(E_F) = 3.22 states/eV per cell
energy = -140.7 eV/cell

Cell: 2.918 2.918 7.093 Å, 90.00 90.00 90.00°
Atoms (fractional coordinates):
Tc 0.000 0.000 0.000
Sb 0.500 0.500 0.727
Ru 0.000 0.000 0.485
Ru 0.500 0.500 0.227


3.
This record from Alexandria describes CaMgFe2 at its PBEsol-relaxed geometry. The functional is meta-GGA SCAN.

Properties
D(E_F) = 1.90 states/eV per cell
formation energy = 0.344 eV/atom

Cell: 5.464 5.464 4.880 Å, 111.97 111.97 32.37°
Atoms (fractional coordinates):
Ca 0.000 0.000 0.000
Mg 0.204 0.204 0.673
Fe 0.446 0.446 0.456
Fe 0.776 0.776 0.253


4.
This record from Alexandria describes ZrBe3 at its PBEsol-relaxed geometry. The functional is meta-GGA SCAN.

Properties
D(E_F) = 2.06 states/eV per cell
energy relative to the lowest polymorph listed for this composition = 0.10 eV/f.u.
formation energy = -0.156 eV/atom

Cell: 4.819 4.819 4.819 Å, 43.17 43.17 43.17°
Atoms (fractional coordinates):
Zr 0.000 0.000 0.000
Be 0.201 0.201 0.201
Be 0.500 0.500 0.500
Be 0.799 0.799 0.799


5.
This record from Alexandria describes LiBe2Au2 at its PBEsol-relaxed geometry. The functional is meta-GGA SCAN.

Properties
D(E_F) = 2.70 states/eV per cell
formation energy = -0.498 eV/atom

Cell: 6.767 6.767 2.788 Å, 90.00 90.00 90.00°
Atoms (fractional coordinates):
Li 0.000 0.000 0.000
Li 0.500 0.500 0.000
Be 0.125 0.375 0.000
Be 0.375 0.875 0.000
Be 0.625 0.125 0.000
Be 0.875 0.625 0.000
Au 0.171 0.671 0.500
Au 0.329 0.171 0.500
Au 0.671 0.829 0.500
Au 0.829 0.329 0.500


6.
This record from Alexandria describes K3CuNi at its PBEsol-relaxed geometry. The functional is meta-GGA SCAN.

Properties
D(E_F) = 7.82 states/eV per cell
formation energy = 0.840 eV/atom

Cell: 5.925 5.925 5.925 Å, 90.00 90.00 90.00°
Atoms (fractional coordinates):
K 0.000 0.000 0.500
K 0.000 0.500 0.000
K 0.500 0.000 0.000
Cu 0.000 0.000 0.000
Ni 0.500 0.500 0.500


7.
This record from Alexandria describes RbBiO2F at its PBEsol-relaxed geometry. The functional is meta-GGA SCAN.

Properties
D(E_F) = 0.48 states/eV per cell
energy = -123.5 eV/cell

Cell: 4.314 4.314 4.623 Å, 90.00 90.00 90.00°
Atoms (fractional coordinates):
Rb 0.000 0.000 0.000
Bi 0.500 0.500 0.500
O 0.000 0.500 0.500
O 0.500 0.000 0.500
F 0.500 0.500 0.000


8.
This record from Alexandria describes Cr3HAu at its PBEsol-relaxed geometry. The functional is meta-GGA SCAN.

Properties
D(E_F) = 2.73 states/eV per cell
energy relative to the lowest polymorph listed for this composition = 6.08 eV/f.u.

Cell: 4.966 4.966 4.966 Å, 90.00 90.00 90.00°
Atoms (fractional coordinates):
Cr 0.000 0.000 0.500
Cr 0.000 0.500 0.000
Cr 0.500 0.000 0.000
H 0.500 0.500 0.500
Au 0.000 0.000 0.000


9.
This record from Alexandria describes TlZnMo2 at its PBEsol-relaxed geometry. The functional is meta-GGA SCAN.

Properties
D(E_F) = 2.13 states/eV per cell
energy relative to the lowest polymorph listed for this composition = 0.61 eV/f.u.
formation energy = 0.485 eV/atom

Cell: 5.035 5.035 4.460 Å, 106.78 106.78 37.98°
Atoms (fractional coordinates):
Tl 0.000 0.000 0.000
Zn 0.500 0.500 0.500
Mo 0.245 0.245 0.721
Mo 0.755 0.755 0.279


10.
This record from Alexandria describes Zn2CdRe at its PBEsol-relaxed geometry. The functional is meta-GGA SCAN.

Properties
D(E_F) = 1.84 states/eV per cell
formation energy = 0.277 eV/atom

Cell: 2.778 2.778 9.108 Å, 90.00 90.00 117.99°
Atoms (fractional coordinates):
Zn 0.000 0.000 0.238
Zn 0.000 0.000 0.762
Cd 0.500 0.500 0.500
Re 0.500 0.500 0.000


11.
This record from Alexandria describes Ba2LiIO6 at its PBEsol-relaxed geometry. The functional is meta-GGA SCAN.

Properties
D(E_F) = 0.00 states/eV per cell
energy = -176.0 eV/cell

Cell: 5.777 5.777 5.777 Å, 60.00 60.00 60.00°
Atoms (fractional coordinates):
Ba 0.250 0.250 0.250
Ba 0.750 0.750 0.750
Li 0.000 0.000 0.000
I 0.500 0.500 0.500
O 0.268 0.268 0.732
O 0.268 0.732 0.268
O 0.268 0.732 0.732
O 0.732 0.268 0.268
O 0.732 0.268 0.732
O 0.732 0.732 0.268


12.
This record from Alexandria describes BaBeI2 at its PBEsol-relaxed geometry. The functional is meta-GGA SCAN.

Properties
energy relative to the lowest polymorph listed for this composition = 0.00 eV/f.u.

Cell: 5.795 5.795 5.795 Å, 60.00 60.00 60.00°
Atoms (fractional coordinates):
Ba 0.000 0.000 0.000
Be 0.500 0.500 0.500
I 0.250 0.250 0.250
I 0.750 0.750 0.750


13.
This record from Alexandria describes Pr2IrPd at its PBEsol-relaxed geometry. The functional is meta-GGA SCAN.

Properties
D(E_F) = 2.13 states/eV per cell
formation energy = -0.767 eV/atom

Cell: 5.014 5.014 5.014 Å, 60.00 60.00 60.00°
Atoms (fractional coordinates):
Pr 0.250 0.250 0.250
Pr 0.750 0.750 0.750
Ir 0.000 0.000 0.000
Pd 0.500 0.500 0.500


14.
This record from Alexandria describes LiCo5 at its PBEsol-relaxed geometry. The functional is meta-GGA SCAN.

Properties
D(E_F) = 4.73 states/eV per cell
energy relative to the lowest polymorph listed for this composition = 0.00 eV/f.u.
formation energy = 0.149 eV/atom

Cell: 4.216 4.216 4.005 Å, 90.00 90.00 120.00°
Atoms (fractional coordinates):
Li 0.000 0.000 0.000
Co 0.000 0.333 0.500
Co 0.333 0.000 0.500
Co 0.333 0.667 0.000
Co 0.667 0.333 0.000
Co 0.667 0.667 0.500


15.
This record from Alexandria describes Ba2CoMo at its PBEsol-relaxed geometry. The functional is meta-GGA SCAN.

Properties
D(E_F) = 2.78 states/eV per cell
formation energy = 1.427 eV/atom

Cell: 9.719 9.719 9.719 Å, 20.85 20.85 20.85°
Atoms (fractional coordinates):
Ba 0.245 0.245 0.245
Ba 0.755 0.755 0.755
Co 0.500 0.500 0.500
Mo 0.000 0.000 0.000


16.
This record from Alexandria describes TlIn2Sb at its PBEsol-relaxed geometry. The functional is meta-GGA SCAN.

Properties
D(E_F) = 1.64 states/eV per cell
energy relative to the lowest polymorph listed for this composition = 0.05 eV/f.u.

Cell: 3.496 4.144 7.422 Å, 90.00 90.00 90.00°
Atoms (fractional coordinates):
Tl 0.000 0.000 0.000
In 0.500 0.500 0.265
In 0.500 0.500 0.735
Sb 0.000 0.000 0.500


17.
This record from Alexandria describes KP2Os at its PBEsol-relaxed geometry. The functional is meta-GGA SCAN.

Properties
D(E_F) = 3.45 states/eV per cell
energy relative to the lowest polymorph listed for this composition = 4.82 eV/f.u.
formation energy = 1.304 eV/atom

Cell: 5.163 5.163 5.163 Å, 135.78 135.78 64.32°
Atoms (fractional coordinates):
K 0.000 0.000 0.000
P 0.250 0.750 0.500
P 0.500 0.500 0.000
Os 0.750 0.250 0.500


18.
This record from Alexandria describes MgSnRh2 at its PBEsol-relaxed geometry. The functional is meta-GGA SCAN.

Properties
D(E_F) = 1.18 states/eV per cell
formation energy = -0.685 eV/atom

Cell: 4.429 4.429 4.429 Å, 60.00 60.00 60.00°
Atoms (fractional coordinates):
Mg 0.000 0.000 0.000
Sn 0.500 0.500 0.500
Rh 0.250 0.250 0.250
Rh 0.750 0.750 0.750


19.
This record from Alexandria describes BaNaYO2 at its PBEsol-relaxed geometry. The functional is meta-GGA SCAN.

Properties
D(E_F) = 2.81 states/eV per cell
energy = -88.9 eV/cell

Cell: 4.464 4.464 6.379 Å, 90.00 90.00 90.00°
Atoms (fractional coordinates):
Ba 0.000 0.000 0.000
Na 0.500 0.500 0.000
Y 0.000 0.000 0.500
O 0.000 0.500 0.500
O 0.500 0.000 0.500


20.
This record from Alexandria describes FeOs2Br at its PBEsol-relaxed geometry. The functional is meta-GGA SCAN.

Properties
D(E_F) = 3.23 states/eV per cell
energy relative to the lowest polymorph listed for this composition = 0.48 eV/f.u.

Cell: 2.935 2.935 6.813 Å, 90.00 90.00 90.00°
Atoms (fractional coordinates):
Fe 0.000 0.000 0.000
Os 0.500 0.500 0.204
Os 0.500 0.500 0.796
Br 0.000 0.000 0.500


21.
This record from Alexandria describes Hf4CoP at its PBEsol-relaxed geometry. The functional is meta-GGA SCAN.

Properties
D(E_F) = 11.23 states/eV per cell
formation energy = -0.640 eV/atom

Cell: 6.255 6.255 5.300 Å, 90.00 90.00 90.00°
Atoms (fractional coordinates):
Hf 0.159 0.331 0.000
Hf 0.159 0.669 0.500
Hf 0.331 0.159 0.500
Hf 0.331 0.841 0.000
Hf 0.669 0.159 0.000
Hf 0.669 0.841 0.500
Hf 0.841 0.331 0.500
Hf 0.841 0.669 0.000
Co 0.000 0.000 0.250
Co 0.000 0.000 0.750
P 0.500 0.500 0.250
P 0.500 0.500 0.750


22.
This record from Alexandria describes ScSnAu2 at its PBEsol-relaxed geometry. The functional is meta-GGA SCAN.

Properties
D(E_F) = 1.73 states/eV per cell
formation energy = -0.728 eV/atom

Cell: 6.513 6.513 7.118 Å, 90.00 90.00 148.41°
Atoms (fractional coordinates):
Sc 0.034 0.966 0.750
Sc 0.966 0.034 0.250
Sn 0.243 0.757 0.250
Sn 0.757 0.243 0.750
Au 0.392 0.608 0.544
Au 0.392 0.608 0.956
Au 0.608 0.392 0.044
Au 0.608 0.392 0.456


23.
This record from Alexandria describes NdCu5Sn at its PBEsol-relaxed geometry. The functional is meta-GGA SCAN.

Properties
D(E_F) = 8.07 states/eV per cell
formation energy = -0.280 eV/atom

Cell: 8.205 4.972 10.491 Å, 90.00 90.00 90.00°
Atoms (fractional coordinates):
Nd 0.246 0.250 0.060
Nd 0.254 0.750 0.560
Nd 0.746 0.250 0.440
Nd 0.754 0.750 0.940
Cu 0.061 0.750 0.104
Cu 0.070 0.000 0.312
Cu 0.070 0.500 0.312
Cu 0.082 0.250 0.517
Cu 0.181 0.250 0.743
Cu 0.319 0.750 0.243
Cu 0.418 0.750 0.017
Cu 0.430 0.000 0.812
Cu 0.430 0.500 0.812
Cu 0.439 0.250 0.604
Cu 0.561 0.750 0.396
Cu 0.570 0.000 0.188
Cu 0.570 0.500 0.188
Cu 0.582 0.250 0.983
Cu 0.681 0.250 0.757
Cu 0.819 0.750 0.257
Cu 0.918 0.750 0.483
Cu 0.930 0.000 0.688
Cu 0.930 0.500 0.688
Cu 0.939 0.250 0.896
Sn 0.139 0.750 0.860
Sn 0.361 0.250 0.360
Sn 0.639 0.750 0.640
Sn 0.861 0.250 0.140


24.
This record from Alexandria describes TlInB2 at its PBEsol-relaxed geometry. The functional is meta-GGA SCAN.

Properties
D(E_F) = 2.65 states/eV per cell
formation energy = 1.266 eV/atom

Cell: 7.596 7.596 7.596 Å, 145.49 145.49 49.61°
Atoms (fractional coordinates):
Tl 0.000 0.000 0.000
Tl 0.750 0.250 0.500
In 0.250 0.750 0.500
In 0.500 0.500 0.000
B 0.137 0.625 0.012
B 0.375 0.387 0.512
B 0.613 0.125 0.988
B 0.875 0.863 0.488


25.
This record from Alexandria describes Ti3CuPb at its PBEsol-relaxed geometry. The functional is meta-GGA SCAN.

Properties
D(E_F) = 5.39 states/eV per cell
formation energy = 1.397 eV/atom

Cell: 5.069 5.069 5.069 Å, 90.00 90.00 90.00°
Atoms (fractional coordinates):
Ti 0.000 0.000 0.500
Ti 0.000 0.500 0.000
Ti 0.500 0.000 0.000
Cu 0.500 0.500 0.500
Pb 0.000 0.000 0.000


26.
This record from Alexandria describes U3Sb4 at its PBEsol-relaxed geometry. The functional is meta-GGA SCAN.

Properties
D(E_F) = 32.60 states/eV per cell
energy = -921.1 eV/cell

Cell: 7.739 7.739 7.739 Å, 109.47 109.47 109.47°
Atoms (fractional coordinates):
U 0.125 0.875 0.250
U 0.250 0.125 0.875
U 0.375 0.625 0.750
U 0.625 0.750 0.375
U 0.750 0.375 0.625
U 0.875 0.250 0.125
Sb 0.000 0.159 0.500
Sb 0.000 0.659 0.500
Sb 0.159 0.500 0.000
Sb 0.341 0.341 0.341
Sb 0.500 0.000 0.159
Sb 0.500 0.000 0.659
Sb 0.659 0.500 0.000
Sb 0.841 0.841 0.841